The following is a DFT calculation (PBE) of a geometry-optimized TaSi2Rh structure.

The structure in POSCAR format:
```
TaSi2Rh
1.0
6.133 0.000 0.000
0.000 6.133 0.000
0.000 0.000 6.133
Ta Si Rh
4 8 4
Cartesian
0.000 0.000 0.000
0.000 3.067 3.067
3.067 0.000 3.067
3.067 3.067 0.000
1.533 1.533 1.533
1.533 1.533 4.600
1.533 4.600 1.533
1.533 4.600 4.600
4.600 1.533 1.533
4.600 1.533 4.600
4.600 4.600 1.533
4.600 4.600 4.600
0.000 0.000 3.067
0.000 3.067 0.000
3.067 0.000 0.000
3.067 3.067 3.067
```

Computed properties:
Density of states at the Fermi level: 16.6 states/eV per cell
Spin magnetization: 0.000 μB per formula unit
Energy relative to the elements, uncorrected: -0.2605 eV/atom
Crystal system: cubic
Uncorrected energy: -0.28565 hartree per atom